## In2GeSe4 (GGA-PBE)

Data for an optimized crystal structure of In2GeSe4.

Cell lengths 7.047, 7.047, 9.669 Å; angles 90.00, 90.00, 90.00 degrees
Space group I-42m (No. 121)
One atom of each set of equivalent atoms:
In (0.000, 0.500, 0.250) (multiplicity 4)
Ge (0.000, 0.000, 0.000) (multiplicity 2)
Se (0.212, 0.212, 0.117) (multiplicity 8)

* uncorrected formation energy: -288 meV/atom
* raw total energy: -3.72 eV/atom
* volume: 34.30 Å³/atom

=====

## BaAc5Zn6 (GGA-PBE)

Data for an optimized crystal structure of BaAc5Zn6.

Cell lengths 5.558, 16.720, 7.887 Å; angles 90.00, 90.00, 90.00 degrees
Space group Cmmm (No. 65)
One atom of each set of equivalent atoms:
Ba (0.000, 0.000, 0.000) (multiplicity 2)
Ac (0.000, 0.000, 0.500) (multiplicity 2)
Ac (0.000, 0.334, 0.000) (multiplicity 4)
Ac (0.000, 0.335, 0.500) (multiplicity 4)
Zn (0.000, 0.172, 0.255) (multiplicity 8)
Zn (0.000, 0.500, 0.261) (multiplicity 4)

* raw total energy: -2.73 eV/atom
* volume: 30.54 Å³/atom
* ΔH_f (0 K): -2.7 eV per formula unit

=====

## Ta2AsOs (GGA-PBE)

Data for an optimized crystal structure of Ta2AsOs.

Cell lengths 4.132, 4.132, 7.722 Å; angles 90.00, 90.00, 90.00 degrees
Space group I4/mmm (No. 139)
One atom of each set of equivalent atoms:
Ta (0.000, 0.500, 0.250) (multiplicity 4)
As (0.000, 0.000, 0.000) (multiplicity 2)
Os (0.000, 0.000, 0.500) (multiplicity 2)

* raw total energy: -9.89 eV/atom
* volume: 16.48 Å³/atom
* ΔH_f (0 K): 0.0 eV per formula unit

=====

## AlTlO2 (GGA-PBE)

Data for an optimized crystal structure of AlTlO2.

Cell lengths 5.166, 5.166, 9.268 Å; angles 90.00, 90.00, 90.00 degrees
Space group I4_1/amd (No. 141, origin choice 2)
One atom of each set of equivalent atoms:
Al (0.000, 0.250, 0.375) (multiplicity 4)
Tl (0.000, 0.250, 0.875) (multiplicity 4)
O (0.000, 0.250, 0.189) (multiplicity 8)

* uncorrected formation energy: -1370 meV/atom
* raw total energy: -5.38 eV/atom
* volume: 15.46 Å³/atom

=====

## Gd4Bi2C (GGA-PBE)

Data for an optimized crystal structure of Gd4Bi2C.

Cell lengths 4.910, 4.910, 16.238 Å; angles 90.00, 90.00, 90.00 degrees
Space group I4/mmm (No. 139)
One atom of each set of equivalent atoms:
Gd (0.000, 0.000, 0.154) (multiplicity 4)
Gd (0.000, 0.500, 0.000) (multiplicity 4)
Bi (0.000, 0.000, 0.357) (multiplicity 4)
C (0.000, 0.000, 0.000) (multiplicity 2)

* raw total energy: -11.13 eV/atom
* volume: 27.96 Å³/atom
* ΔH_f (0 K): -4.6 eV per formula unit

=====

## LaZnPd2 (GGA-PBE)

Data for an optimized crystal structure of LaZnPd2.

Cell lengths 4.702, 4.702, 16.909 Å; angles 90.00, 90.00, 90.00 degrees
Space group I-42d (No. 122)
One atom of each set of equivalent atoms:
La (0.000, 0.000, 0.000) (multiplicity 4)
Zn (0.000, 0.000, 0.500) (multiplicity 4)
Pd (0.140, 0.250, 0.625) (multiplicity 8)

* raw total energy: -4.54 eV/atom
* volume: 23.37 Å³/atom
* ΔH_f (0 K): -1.6 eV per formula unit

=====

Q: Among the records above, which one has the lowest volume?
A: AlTlO2

=====

Q: What is the raw total energy in the second record?
A: -2.73 eV/atom

=====

Q: Look up the volume of the sixth one.
A: 23.37 Å³/atom

=====

Q: Which value of volume does entry 2 give?
A: 30.54 Å³/atom